! Ba2LiY2Fe4O10 (PBE+U, relaxed); values from VASP
&SYSTEM
  ibrav = 0, nat = 19, ntyp = 5
/
ATOMIC_SPECIES
Li 6.94 Li.upf
Y 88.91 Y.upf
O 16.00 O.upf
Ba 137.33 Ba.upf
Fe 55.84 Fe.upf
ATOMIC_POSITIONS crystal
Li 0.329 0.589 0.680
Y 0.970 0.468 0.449
O 0.491 0.032 0.283
Y 0.993 0.466 0.969
Ba 0.982 0.911 0.493
Fe 0.492 0.248 0.728
O 0.029 0.391 0.721
Ba 0.007 0.030 0.032
O 0.482 0.302 0.472
O 0.503 0.276 0.998
O 0.541 0.015 0.777
Fe 0.490 0.253 0.251
O 0.477 0.637 0.475
Fe 0.530 0.788 0.848
O 0.992 0.344 0.229
Fe 0.489 0.699 0.220
O 0.499 0.600 0.021
O 0.989 0.741 0.234
O 0.031 0.720 0.787
CELL_PARAMETERS angstrom
3.751 -0.020 -0.010
0.044 8.582 0.268
0.211 1.125 8.476
! distance to the lowest polymorph of the same formula = 4 meV per atom